PBE-GGA AlZn8Ag3, optimized geometry; energy = -1.65 eV per atom; energy of formation = 0.222 eV/atom; SG = I-42m, No. 121
1.0
-3.601 3.601 4.450
3.601 -3.601 4.450
3.601 3.601 -4.450
Al Zn Ag
1 8 3
direct
0.000 0.000 0.000
0.109 0.380 0.000
0.241 0.743 0.000
0.257 0.257 0.498
0.380 0.109 0.000
0.620 0.620 0.729
0.743 0.241 0.000
0.759 0.759 0.502
0.891 0.891 0.271
0.250 0.750 0.500
0.500 0.500 0.000
0.750 0.250 0.500